Entry 1:
A plane-wave DFT calculation with GGA-PBE was carried out for ZnGa3B after structural relaxation.

Properties
Energy relative to the lowest polymorph listed for this composition ... 0.00 eV/f.u.
DFT formation energy ... 0.425 eV/atom

Geometry as POSCAR:
```
ZnGa3B
1.0
4.412 0.000 0.000
0.000 4.412 0.000
0.000 0.000 4.412
Zn Ga B
1 3 1
Cartesian
0.000 0.000 0.000 Zn
0.000 2.206 2.206 Ga
2.206 0.000 2.206 Ga
2.206 2.206 0.000 Ga
2.206 2.206 2.206 B
```

Entry 2:
A plane-wave DFT calculation with GGA-PBE was carried out for CsGePPt4 after structural relaxation.

Properties
DFT formation energy ... -0.305 eV/atom

Geometry as POSCAR:
```
CsGePPt4
1.0
7.776 -3.192 0.000
7.776 3.192 0.000
-0.621 0.000 6.396
Cs Ge P Pt
2 2 2 8
Cartesian
1.016 0.000 1.459 Cs
13.914 0.000 4.937 Cs
3.996 0.000 3.423 Ge
10.934 0.000 2.974 Ge
6.380 0.000 1.511 P
8.550 0.000 4.886 P
4.714 1.727 1.704 Pt
4.440 0.000 5.972 Pt
10.216 1.727 4.692 Pt
6.383 0.000 3.953 Pt
8.547 0.000 2.444 Pt
4.714 -1.727 1.704 Pt
10.490 0.000 0.424 Pt
10.216 -1.727 4.692 Pt
```

Entry 3:
A plane-wave DFT calculation with GGA-PBE was carried out for SmGe3 after structural relaxation.

Properties
DFT formation energy ... -0.400 eV/atom

Geometry as POSCAR:
```
SmGe3
1.0
6.153 0.000 0.000
-3.076 5.328 0.000
0.000 0.000 5.170
Sm Ge
2 6
Cartesian
0.000 3.552 1.292 Sm
3.076 1.776 3.877 Sm
0.000 1.568 3.877 Ge
-1.718 4.544 3.877 Ge
1.358 0.784 1.292 Ge
1.718 4.544 3.877 Ge
4.795 0.784 1.292 Ge
3.076 3.760 1.292 Ge
```

Entry 4:
A plane-wave DFT calculation with GGA-PBE was carried out for Er2In3Au4 after structural relaxation.

Properties
DFT formation energy ... -0.566 eV/atom

Geometry as POSCAR:
```
Er2In3Au4
1.0
4.252 -2.455 0.000
4.252 2.455 0.000
-0.016 0.000 9.411
Er In Au
2 3 4
Cartesian
1.408 0.000 2.678 Er
7.081 0.000 6.733 Er
1.409 0.000 8.678 In
4.244 0.000 4.706 In
7.079 0.000 0.733 In
1.410 0.000 5.641 Au
4.240 0.000 1.577 Au
4.248 0.000 7.834 Au
7.078 0.000 3.770 Au
```

Entry 5:
A plane-wave DFT calculation with GGA-PBE was carried out for Li6Ag5Ge after structural relaxation.

Properties
DFT formation energy ... -0.227 eV/atom

Geometry as POSCAR:
```
Li6Ag5Ge
1.0
6.850 -3.347 0.000
6.850 3.347 0.000
-1.315 0.000 4.116
Li Ag Ge
6 5 1
Cartesian
4.166 1.691 1.382 Li
6.850 1.710 0.000 Li
8.220 1.691 2.734 Li
4.166 -1.691 1.382 Li
6.850 -1.710 0.000 Li
8.220 -1.691 2.734 Li
2.066 0.000 0.693 Ag
3.456 0.000 3.422 Ag
6.193 0.000 2.058 Ag
8.930 0.000 0.694 Ag
10.320 0.000 3.422 Ag
-0.657 0.000 2.058 Ge
```

Entry 6:
A plane-wave DFT calculation with GGA-PBE was carried out for AcPm12Nd5 after structural relaxation.

Properties
DFT formation energy ... 0.096 eV/atom

Geometry as POSCAR:
```
AcPm12Nd5
1.0
5.886 -8.864 0.000
5.886 8.864 0.000
-0.050 0.000 6.106
Ac Pm Nd
1 12 5
Cartesian
0.000 0.000 0.000 Ac
2.126 2.941 5.734 Pm
3.786 2.968 2.696 Pm
2.127 0.000 3.300 Pm
3.930 0.000 0.250 Pm
2.126 -2.941 5.734 Pm
3.786 -2.968 2.696 Pm
7.936 2.968 3.410 Pm
9.597 2.941 0.372 Pm
7.793 0.000 5.856 Pm
9.595 0.000 2.806 Pm
7.936 -2.968 3.410 Pm
9.597 -2.941 0.372 Pm
5.861 5.915 3.053 Nd
5.886 3.099 0.000 Nd
5.861 0.000 3.053 Nd
5.886 -3.099 0.000 Nd
5.861 -5.915 3.053 Nd
```

Entry 7:
A plane-wave DFT calculation with GGA-PBE was carried out for Rb2HfTi2 after structural relaxation.

Properties
Energy relative to the lowest polymorph listed for this composition ... 1.48 eV/f.u.
DFT formation energy ... 2.013 eV/atom

Geometry as POSCAR:
```
Rb2HfTi2
1.0
-2.616 2.616 5.061
2.616 -2.616 5.061
2.616 2.616 -5.061
Rb Hf Ti
2 1 2
Cartesian
0.000 0.000 1.381 Rb
0.000 0.000 8.740 Rb
0.000 0.000 5.061 Hf
2.616 0.000 2.530 Ti
0.000 2.616 2.530 Ti
```

Entry 8:
A plane-wave DFT calculation with GGA-PBE was carried out for PuAl3Zn3 after structural relaxation.

Properties
DFT formation energy ... 0.037 eV/atom

Geometry as POSCAR:
```
PuAl3Zn3
1.0
8.081 0.000 0.000
-4.040 6.998 0.000
0.000 0.000 4.526
Pu Al Zn
2 6 6
Cartesian
0.000 4.665 1.132 Pu
4.040 2.333 3.395 Pu
-3.059 5.405 3.395 Al
0.889 1.647 3.395 Al
1.871 0.053 1.132 Al
2.170 6.945 3.395 Al
3.151 5.351 1.132 Al
7.099 1.594 1.132 Al
-1.220 3.224 3.395 Zn
-0.639 6.443 3.395 Zn
2.182 2.668 1.132 Zn
1.859 4.330 3.395 Zn
4.679 0.555 1.132 Zn
5.260 3.775 1.132 Zn
```

Entry 9:
A plane-wave DFT calculation with GGA-PBE was carried out for Ac4SiPdBr2 after structural relaxation.

Properties
Formation energy without anion corrections ... -1022 meV/atom

Geometry as POSCAR:
```
Ac4SiPdBr2
1.0
8.011 0.000 0.000
0.000 4.418 0.000
-2.415 0.000 7.752
Ac Si Pd Br
4 1 1 2
Cartesian
1.110 0.000 1.782 Ac
-0.035 2.209 5.715 Ac
5.631 2.209 2.037 Ac
4.486 0.000 5.970 Ac
-1.208 0.000 3.876 Si
0.000 2.209 0.000 Pd
4.005 0.000 0.000 Br
2.798 2.209 3.876 Br
```

Entry 10:
A plane-wave DFT calculation with GGA-PBE was carried out for LiPrYIn after structural relaxation.

Properties
DFT formation energy ... -0.282 eV/atom

Geometry as POSCAR:
```
LiPrYIn
1.0
0.000 3.809 3.809
3.809 0.000 3.809
3.809 3.809 0.000
Li Pr Y In
1 1 1 1
Cartesian
0.000 0.000 0.000 Li
5.713 5.713 5.713 Pr
1.904 1.904 1.904 Y
3.809 3.809 3.809 In
```

Entry 11:
A plane-wave DFT calculation with GGA-PBE was carried out for Y2In2Br after structural relaxation.

Properties
Formation energy without anion corrections ... -669 meV/atom

Geometry as POSCAR:
```
Y2In2Br
1.0
7.699 0.000 0.000
0.000 7.699 0.000
0.000 0.000 4.772
Y In Br
4 4 2
Cartesian
1.257 2.593 0.000 Y
2.593 6.442 0.000 Y
5.106 1.257 0.000 Y
6.442 5.106 0.000 Y
1.061 4.910 2.386 In
2.789 1.061 2.386 In
4.910 6.638 2.386 In
6.638 2.789 2.386 In
0.000 0.000 0.000 Br
3.850 3.850 0.000 Br
```

Entry 12:
A plane-wave DFT calculation with GGA-PBE was carried out for AlReSbPt2 after structural relaxation.

Properties
Formation energy without anion corrections ... 1391 meV/atom

Geometry as POSCAR:
```
AlReSbPt2
1.0
4.865 0.000 0.000
0.000 4.865 0.000
0.000 0.000 4.977
Al Re Sb Pt
1 1 1 2
Cartesian
0.000 0.000 0.000 Al
2.432 2.432 0.000 Re
2.432 2.432 2.489 Sb
0.000 2.432 2.489 Pt
2.432 0.000 2.489 Pt
```

Entry 13:
A plane-wave DFT calculation with GGA-PBE was carried out for La3Pm4Nd after structural relaxation.

Properties
Energy relative to the lowest polymorph listed for this composition ... 0.86 eV/f.u.
DFT formation energy ... 0.109 eV/atom

Geometry as POSCAR:
```
La3Pm4Nd
1.0
-1.779 6.002 6.699
1.779 -6.002 6.699
1.779 6.002 -6.699
La Pm Nd
3 4 1
Cartesian
0.000 0.000 0.000 La
1.779 0.000 3.481 La
0.000 6.002 3.218 La
1.779 3.010 -1.788 Pm
1.779 3.010 1.788 Pm
0.000 2.992 4.911 Pm
0.000 2.992 8.488 Pm
0.000 0.000 6.699 Nd
```

Entry 14:
A plane-wave DFT calculation with GGA-PBE was carried out for AcMgAlPd after structural relaxation.

Properties
DFT formation energy ... -0.479 eV/atom

Geometry as POSCAR:
```
AcMgAlPd
1.0
2.204 1.272 5.987
-2.204 1.272 5.987
0.000 -2.545 5.987
Ac Mg Al Pd
1 1 1 1
Cartesian
0.000 0.000 0.000 Ac
0.000 0.000 3.572 Mg
0.000 0.000 14.213 Al
0.000 0.000 8.606 Pd
```

Entry 15:
A plane-wave DFT calculation with GGA-PBE was carried out for LaTb3P after structural relaxation.

Properties
DFT formation energy ... -0.426 eV/atom

Geometry as POSCAR:
```
LaTb3P
1.0
5.442 0.000 0.000
0.000 5.442 0.000
0.000 0.000 5.442
La Tb P
1 3 1
Cartesian
0.000 0.000 0.000 La
0.000 2.721 2.721 Tb
2.721 0.000 2.721 Tb
2.721 2.721 0.000 Tb
2.721 2.721 2.721 P
```

Entry 16:
A plane-wave DFT calculation with GGA-PBE was carried out for Ac2Zn6CoAg after structural relaxation.

Properties
DFT formation energy ... -0.123 eV/atom

Geometry as POSCAR:
```
Ac2Zn6CoAg
1.0
4.798 -4.810 0.000
4.798 4.810 0.000
-4.786 0.000 4.810
Ac Zn Co Ag
2 6 1 1
Cartesian
4.798 2.403 0.000 Ac
4.798 -2.403 0.000 Ac
-0.101 0.000 2.402 Zn
-2.390 0.000 4.702 Zn
2.405 2.513 2.405 Zn
2.405 -2.513 2.405 Zn
7.200 0.000 0.107 Zn
4.911 0.000 2.407 Zn
-2.393 0.000 2.405 Co
2.405 0.000 2.405 Ag
```

Entry 17:
A plane-wave DFT calculation with GGA-PBE was carried out for Ac2ZnGa3Ni4 after structural relaxation.

Properties
DFT formation energy ... -0.459 eV/atom

Geometry as POSCAR:
```
Ac2ZnGa3Ni4
1.0
4.330 0.000 0.000
0.000 4.330 0.000
0.000 0.000 9.928
Ac Zn Ga Ni
2 1 3 4
Cartesian
0.000 2.165 2.423 Ac
2.165 0.000 7.505 Ac
0.000 0.000 4.964 Zn
0.000 2.165 8.804 Ga
2.165 0.000 1.125 Ga
2.165 2.165 4.964 Ga
0.000 0.000 0.000 Ni
0.000 2.165 6.270 Ni
2.165 0.000 3.658 Ni
2.165 2.165 0.000 Ni
```

Entry 18:
A plane-wave DFT calculation with GGA-PBE was carried out for PaAl3Pt after structural relaxation.

Properties
Energy relative to the lowest polymorph listed for this composition ... 0.07 eV/f.u.
DFT formation energy ... -0.643 eV/atom

Geometry as POSCAR:
```
PaAl3Pt
1.0
8.276 0.000 0.000
0.000 4.188 0.000
0.000 0.000 10.876
Pa Al Pt
4 12 4
Cartesian
1.479 1.047 0.107 Pa
2.659 3.141 5.545 Pa
5.617 1.047 5.331 Pa
6.797 3.141 10.769 Pa
0.536 1.047 6.384 Al
0.888 3.141 8.749 Al
1.116 3.141 2.305 Al
3.022 1.047 7.743 Al
3.250 1.047 3.310 Al
3.602 3.141 0.946 Al
4.674 1.047 9.930 Al
5.026 3.141 7.566 Al
5.254 3.141 3.133 Al
7.160 1.047 8.571 Al
7.388 1.047 2.128 Al
7.740 3.141 4.492 Al
0.848 1.047 3.856 Pt
3.290 3.141 9.294 Pt
4.986 1.047 1.582 Pt
7.428 3.141 7.020 Pt
```

Entry 19:
A plane-wave DFT calculation with GGA-PBE was carried out for CaPm2Pu after structural relaxation.

Properties
Energy relative to the lowest polymorph listed for this composition ... 0.00 eV/f.u.
DFT formation energy ... 0.134 eV/atom

Geometry as POSCAR:
```
CaPm2Pu
1.0
3.592 0.000 0.000
0.000 3.592 0.000
0.000 0.000 10.470
Ca Pm Pu
1 2 1
Cartesian
0.000 0.000 0.000 Ca
1.796 1.796 2.850 Pm
1.796 1.796 7.620 Pm
0.000 0.000 5.235 Pu
```

Entry 20:
A plane-wave DFT calculation with GGA-PBE was carried out for Tb2GaFeCo6 after structural relaxation.

Properties
DFT formation energy ... 0.372 eV/atom

Geometry as POSCAR:
```
Tb2GaFeCo6
1.0
0.000 4.377 4.377
4.377 0.000 4.377
4.377 4.377 0.000
Tb Ga Fe Co
2 1 1 6
Cartesian
2.188 2.188 2.188 Tb
6.565 6.565 6.565 Tb
0.000 0.000 0.000 Ga
4.377 4.377 4.377 Fe
4.377 4.377 2.232 Co
4.377 2.232 4.377 Co
6.522 4.377 4.377 Co
2.232 4.377 4.377 Co
4.377 6.522 4.377 Co
4.377 4.377 6.522 Co
```

| no. | calculated density (g/cm3) | total magnetization (μB per atom) |
| --- | --- | --- |
| 1 | 5.5 | 0.000 |
| 2 | 10.6 | 0.000 |
| 3 | 7.2 | 0.000 |
| 4 | 12.4 | 0.000 |
| 5 | 5.8 | 0.000 |
| 6 | 7.0 | 0.000 |
| 7 | 5.3 | 0.000 |
| 8 | 6.8 | 0.813 |
| 9 | 7.3 | 0.000 |
| 10 | 5.3 | 0.000 |
| 11 | 5.7 | 0.000 |
| 12 | 10.2 | 0.191 |
| 13 | 6.6 | 0.000 |
| 14 | 6.3 | 0.000 |
| 15 | 6.7 | 0.107 |
| 16 | 7.6 | 0.077 |
| 17 | 8.6 | 0.000 |
| 18 | 8.9 | 0.063 |
| 19 | 7.1 | 1.492 |
| 20 | 7.9 | 0.893 |